Material: Cs2ZnCo3F12
Method: DFT, PBE+U
State: optimized geometry

The space group is R-3m (No. 166, hexagonal axes) and the conventional cell measures 7.3772, 7.3772 and 18.0045 Å, with angles of 90.00, 90.00 and 120.00 degrees. Symmetry generates all atoms from Cs at (0.0000, 0.0000, 0.1230), Zn at (0.0000, 0.0000, 0.5000), Co at (0.0000, 0.5000, 0.0000), F at (0.0654, 0.5327, 0.1047) and F at (0.0759, 0.5380, 0.3523).

The value obtained for the energy is -4.503 eV/atom.